# 1
Here is a relaxed Dy2Er3Ge4 crystal from the Alexandria database. Energies are from GGA-PBE.

Unit cell a=7.550 b=7.903 c=7.737 alpha=90.00 beta=90.00 gamma=112.31
Fractional coordinates of all 18 atoms:
Dy  0.560  0.199  0.320
Dy  0.940  0.801  0.820
Dy  0.440  0.801  0.680
Dy  0.060  0.199  0.180
Er  0.000  0.500  0.500
Er  0.500  0.500  0.000
Er  0.728  0.238  0.837
Er  0.772  0.762  0.337
Er  0.272  0.762  0.163
Er  0.228  0.238  0.663
Ge  0.824  0.088  0.535
Ge  0.676  0.912  0.035
Ge  0.176  0.912  0.465
Ge  0.324  0.088  0.965
Ge  0.868  0.491  0.133
Ge  0.632  0.509  0.633
Ge  0.132  0.509  0.867
Ge  0.368  0.491  0.367

* total DFT energy (no corrections): -5.465 eV per atom
* total moment: 0.0 μB/f.u.
* E_form: -0.8690 eV/atom

# 2
Here is a relaxed Np2Co3ReB12 crystal from the Alexandria database. Energies are from GGA-PBE.

Unit cell a=8.271 b=8.271 c=8.271 alpha=37.63 beta=37.63 gamma=37.63
Fractional coordinates of all 18 atoms:
Np  0.641  0.641  0.641
Np  0.359  0.359  0.359
Co  0.500  0.000  0.000
Co  0.000  0.500  0.000
Co  0.000  0.000  0.500
Re  0.000  0.000  0.000
B  0.344  0.344  0.019
B  0.953  0.953  0.327
B  0.327  0.953  0.953
B  0.019  0.344  0.344
B  0.953  0.327  0.953
B  0.344  0.019  0.344
B  0.656  0.656  0.981
B  0.047  0.047  0.673
B  0.673  0.047  0.047
B  0.981  0.656  0.656
B  0.047  0.673  0.047
B  0.656  0.981  0.656

* total DFT energy (no corrections): -7.603 eV per atom
* total moment: 8.3 μB/f.u.
* E_form: 0.1625 eV/atom

# 3
Here is a relaxed SrCoTc2Pd crystal from the Alexandria database. Energies are from GGA-PBE.

Unit cell a=4.916 b=5.420 c=4.916 alpha=90.00 beta=90.00 gamma=90.00
Fractional coordinates of all 5 atoms:
Sr  0.000  0.500  0.000
Co  0.500  0.500  0.500
Tc  0.000  0.000  0.500
Tc  0.500  0.000  0.000
Pd  0.000  0.000  0.000

* total DFT energy (no corrections): -5.148 eV per atom
* total moment: 7.8 μB/f.u.
* E_form: 1.7943 eV/atom

# 4
Here is a relaxed Sr2Mg2Tl5 crystal from the Alexandria database. Energies are from GGA-PBE.

Unit cell a=5.573 b=5.573 c=9.029 alpha=90.00 beta=90.00 gamma=90.00
Fractional coordinates of all 9 atoms:
Sr  0.000  0.000  0.000
Sr  0.000  0.000  0.500
Mg  0.500  0.500  0.157
Mg  0.500  0.500  0.843
Tl  0.500  0.000  0.266
Tl  0.500  0.000  0.734
Tl  0.000  0.500  0.266
Tl  0.000  0.500  0.734
Tl  0.500  0.500  0.500

* total DFT energy (no corrections): -2.205 eV per atom
* total moment: 0.0 μB/f.u.
* E_form: -0.1620 eV/atom

# 5
Here is a relaxed TaFeGeTe2Pd crystal from the Alexandria database. Energies are from GGA-PBE.

Unit cell a=3.614 b=5.431 c=7.046 alpha=112.61 beta=89.97 gamma=109.46
Fractional coordinates of all 6 atoms:
Ge  0.069  0.765  0.147
Te  0.346  0.318  0.190
Te  0.908  0.443  0.648
Fe  0.432  0.492  0.905
Pd  0.163  0.952  0.578
Ta  0.675  0.977  0.874

* distance to the lowest polymorph of the same formula: 245 meV per atom
* total DFT energy (no corrections): -6.102 eV per atom
* raw formation energy: -0.034 eV/atom
* total moment: 0.0 μB/f.u.

# 6
Here is a relaxed Sc6Si2GeSe3 crystal from the Alexandria database. Energies are from GGA-PBE.

Unit cell a=3.863 b=7.824 c=8.729 alpha=104.31 beta=102.78 gamma=90.00
Fractional coordinates of all 12 atoms:
Sc  0.335  0.908  0.670
Sc  0.670  0.576  0.339
Sc  0.665  0.092  0.330
Sc  0.003  0.245  0.006
Sc  0.997  0.755  0.994
Sc  0.330  0.424  0.661
Si  0.833  0.666  0.666
Si  0.167  0.334  0.334
Ge  0.500  0.000  0.000
Se  0.500  0.500  0.000
Se  0.834  0.167  0.667
Se  0.166  0.833  0.333

* total DFT energy (no corrections): -6.522 eV per atom
* raw formation energy: -1.197 eV/atom
* total moment: 0.0 μB/f.u.

# 7
Here is a relaxed Sr3TcO crystal from the Alexandria database. Energies are from GGA-PBE.

Unit cell a=5.093 b=5.093 c=5.093 alpha=90.00 beta=90.00 gamma=90.00
Fractional coordinates of all 5 atoms:
Sr  0.000  0.500  0.000
Sr  0.000  0.000  0.500
Sr  0.500  0.000  0.000
Tc  0.500  0.500  0.500
O  0.000  0.000  0.000

* distance to the lowest polymorph of the same formula: 0 meV per atom
* total DFT energy (no corrections): -4.568 eV per atom
* raw formation energy: -0.495 eV/atom
* total moment: 2.0 μB/f.u.

# 8
Here is a relaxed TcGeSbTe2 crystal from the Alexandria database. Energies are from GGA-PBE.

Unit cell a=5.351 b=5.351 c=5.315 alpha=90.00 beta=90.00 gamma=90.00
Fractional coordinates of all 5 atoms:
Sb  0.000  0.000  0.500
Ge  0.000  0.000  0.000
Te  0.000  0.500  0.000
Te  0.500  0.000  0.000
Tc  0.500  0.500  0.500

* distance to the lowest polymorph of the same formula: 544 meV per atom
* total DFT energy (no corrections): -3.888 eV per atom
* raw formation energy: 1.190 eV/atom
* total moment: 3.7 μB/f.u.

# 9
Here is a relaxed TcSnH2W crystal from the Alexandria database. Energies are from GGA-PBE.

Unit cell a=3.085 b=3.143 c=6.352 alpha=90.00 beta=90.12 gamma=90.00
Fractional coordinates of all 5 atoms:
Tc  0.838  0.000  0.093
Sn  0.344  0.000  0.723
H  0.832  0.500  0.495
H  0.109  0.500  0.040
W  0.332  0.500  0.335

* distance to the lowest polymorph of the same formula: 65 meV per atom
* total DFT energy (no corrections): -6.732 eV per atom
* total moment: 0.0 μB/f.u.

# 10
Here is a relaxed La3Pr4Y3 crystal from the Alexandria database. Energies are from GGA-PBE.

Unit cell a=3.907 b=9.610 c=9.610 alpha=89.51 beta=90.00 gamma=90.00
Fractional coordinates of all 10 atoms:
La  0.000  0.507  0.003
La  0.000  0.997  0.493
La  0.500  0.169  0.831
Pr  0.000  0.628  0.372
Pr  0.000  0.372  0.628
Pr  0.000  0.868  0.872
Pr  0.000  0.128  0.132
Y  0.500  0.830  0.170
Y  0.500  0.332  0.331
Y  0.500  0.669  0.668

* total DFT energy (no corrections): -5.244 eV per atom
* total moment: 0.0 μB/f.u.
* E_form: 0.0849 eV/atom

# 11
Here is a relaxed MnZnAs2 crystal from the Alexandria database. Energies are from GGA-PBE.

Unit cell a=2.779 b=2.779 c=9.222 alpha=90.00 beta=90.00 gamma=90.00
Fractional coordinates of all 4 atoms:
As  0.000  0.000  0.944
As  0.500  0.500  0.321
Mn  0.000  0.000  0.517
Zn  0.500  0.500  0.718

* total DFT energy (no corrections): -4.822 eV per atom
* total moment: 3.1 μB/f.u.
* E_form: 0.1134 eV/atom

# 12
Here is a relaxed LiAc3Cd3 crystal from the Alexandria database. Energies are from GGA-PBE.

Unit cell a=5.134 b=3.958 c=11.482 alpha=99.93 beta=102.92 gamma=90.00
Fractional coordinates of all 7 atoms:
Li  0.433  0.433  0.866
Ac  0.304  0.804  0.608
Ac  0.696  0.196  0.391
Ac  0.002  0.002  0.004
Cd  0.139  0.639  0.278
Cd  0.864  0.364  0.729
Cd  0.562  0.562  0.124

* total DFT energy (no corrections): -2.644 eV per atom
* total moment: 0.0 μB/f.u.
* E_form: -0.2181 eV/atom

# 13
Here is a relaxed CaY2Br crystal from the Alexandria database. Energies are from GGA-PBE.

Unit cell a=6.551 b=6.551 c=6.551 alpha=137.16 beta=137.16 gamma=62.20
Fractional coordinates of all 4 atoms:
Y  0.000  0.000  0.000
Y  0.250  0.750  0.500
Ca  0.750  0.250  0.500
Br  0.500  0.500  0.000

* distance to the lowest polymorph of the same formula: 518 meV per atom
* total DFT energy (no corrections): -4.180 eV per atom
* raw formation energy: -0.030 eV/atom
* total moment: 1.6 μB/f.u.

# 14
Here is a relaxed YTm2Os crystal from the Alexandria database. Energies are from GGA-PBE.

Unit cell a=3.398 b=3.398 c=10.960 alpha=81.08 beta=81.08 gamma=60.00
Fractional coordinates of all 4 atoms:
Y  0.000  0.000  0.000
Tm  0.105  0.105  0.685
Tm  0.895  0.895  0.315
Os  0.500  0.500  0.500

* distance to the lowest polymorph of the same formula: 518 meV per atom
* total DFT energy (no corrections): -6.431 eV per atom
* total moment: 0.6 μB/f.u.
* E_form: 0.2280 eV/atom

# 15
Here is a relaxed Ti2OsRu crystal from the Alexandria database. Energies are from GGA-PBE.

Unit cell a=3.081 b=4.370 c=4.370 alpha=90.00 beta=90.00 gamma=90.00
Fractional coordinates of all 4 atoms:
Ru  0.500  0.000  0.000
Os  0.500  0.500  0.500
Ti  0.000  0.000  0.500
Ti  0.000  0.500  0.000

* total DFT energy (no corrections): -9.812 eV per atom
* total moment: 0.0 μB/f.u.
* E_form: -0.7386 eV/atom

# 16
Here is a relaxed Ti6Nb2V crystal from the Alexandria database. Energies are from GGA-PBE.

Unit cell a=4.663 b=10.509 c=10.748 alpha=38.37 beta=78.04 gamma=90.70
Fractional coordinates of all 18 atoms:
Ti  0.505  0.729  0.502
Ti  0.164  0.430  0.155
Ti  0.495  0.271  0.498
Ti  0.836  0.570  0.845
Ti  0.939  0.504  0.628
Ti  0.718  0.659  0.052
Ti  0.061  0.496  0.372
Ti  0.282  0.341  0.948
Ti  0.285  0.865  0.925
Ti  0.169  0.914  0.161
Ti  0.715  0.135  0.075
Ti  0.831  0.086  0.839
Nb  0.396  0.809  0.714
Nb  0.060  0.963  0.388
Nb  0.604  0.191  0.286
Nb  0.940  0.037  0.612
V  0.401  0.337  0.698
V  0.599  0.663  0.302

* total DFT energy (no corrections): -8.454 eV per atom
* total moment: 0.0 μB/f.u.
* E_form: 0.0605 eV/atom

# 17
Here is a relaxed Ho2PuH8 crystal from the Alexandria database. Energies are from GGA-PBE.

Unit cell a=3.605 b=5.286 c=6.278 alpha=114.90 beta=106.69 gamma=90.00
Fractional coordinates of all 11 atoms:
Ho  0.171  0.671  0.342
Ho  0.829  0.329  0.658
Pu  0.500  0.000  0.000
H  0.662  0.897  0.325
H  0.338  0.572  0.675
H  0.155  0.155  0.310
H  0.000  0.277  0.000
H  0.845  0.845  0.690
H  0.662  0.428  0.325
H  0.338  0.103  0.675
H  0.000  0.723  0.000

* total DFT energy (no corrections): -5.132 eV per atom
* total moment: 5.4 μB/f.u.

# 18
Here is a relaxed NaNb2Cl2 crystal from the Alexandria database. Energies are from GGA-PBE.

Unit cell a=8.977 b=8.977 c=3.169 alpha=90.00 beta=90.00 gamma=90.00
Fractional coordinates of all 10 atoms:
Na  0.000  0.000  0.000
Na  0.500  0.500  0.000
Nb  0.411  0.911  0.000
Nb  0.911  0.589  0.000
Nb  0.589  0.089  0.000
Nb  0.089  0.411  0.000
Cl  0.156  0.656  0.500
Cl  0.656  0.844  0.500
Cl  0.844  0.344  0.500
Cl  0.344  0.156  0.500

* distance to the lowest polymorph of the same formula: 355 meV per atom
* total DFT energy (no corrections): -4.638 eV per atom
* raw formation energy: 0.393 eV/atom
* total moment: 0.0 μB/f.u.

# 19
Here is a relaxed Tb2ErSi6 crystal from the Alexandria database. Energies are from GGA-PBE.

Unit cell a=3.942 b=7.091 c=7.091 alpha=120.00 beta=90.00 gamma=90.00
Fractional coordinates of all 9 atoms:
Tb  0.000  0.333  0.667
Tb  0.000  0.667  0.333
Er  0.000  0.000  0.000
Si  0.500  0.332  0.332
Si  0.500  0.668  0.668
Si  0.500  0.000  0.668
Si  0.500  0.668  0.000
Si  0.500  0.332  0.000
Si  0.500  0.000  0.332

* total DFT energy (no corrections): -5.678 eV per atom
* raw formation energy: -0.527 eV/atom
* total moment: 0.0 μB/f.u.

# 20
Here is a relaxed VTe crystal from the Alexandria database. Energies are from GGA-PBE.

Unit cell a=6.238 b=6.238 c=6.238 alpha=90.00 beta=90.00 gamma=90.00
Fractional coordinates of all 8 atoms:
V  0.250  0.250  0.250
V  0.250  0.750  0.750
V  0.750  0.250  0.750
V  0.750  0.750  0.250
Te  0.000  0.000  0.000
Te  0.000  0.500  0.500
Te  0.500  0.000  0.500
Te  0.500  0.500  0.000

* total DFT energy (no corrections): -6.029 eV per atom
* raw formation energy: 0.101 eV/atom
* total moment: 3.0 μB/f.u.

# 21
Here is a relaxed AcSmY crystal from the Alexandria database. Energies are from GGA-PBE.

Unit cell a=3.757 b=3.757 c=9.037 alpha=90.00 beta=90.00 gamma=120.00
Fractional coordinates of all 3 atoms:
Y  0.333  0.667  0.674
Ac  0.667  0.333  0.335
Sm  0.000  0.000  0.991

* distance to the lowest polymorph of the same formula: 0 meV per atom
* total DFT energy (no corrections): -5.049 eV per atom
* total moment: 0.0 μB/f.u.
* E_form: 0.0479 eV/atom

# 22
Here is a relaxed Sn3Ge2 crystal from the Alexandria database. Energies are from GGA-PBE.

Unit cell a=7.401 b=7.401 c=7.244 alpha=59.28 beta=59.28 gamma=60.00
Fractional coordinates of all 10 atoms:
Ge  0.875  0.875  0.376
Ge  0.375  0.375  0.876
Ge  0.125  0.125  0.624
Ge  0.625  0.625  0.124
Sn  0.020  0.750  0.750
Sn  0.750  0.480  0.750
Sn  0.480  0.020  0.750
Sn  0.250  0.520  0.250
Sn  0.520  0.980  0.250
Sn  0.980  0.250  0.250

* total DFT energy (no corrections): -4.050 eV per atom
* total moment: 0.0 μB/f.u.
* E_form: 0.1987 eV/atom

# 23
Here is a relaxed Tm8Sn5Hg crystal from the Alexandria database. Energies are from GGA-PBE.

Unit cell a=7.924 b=7.924 c=7.924 alpha=109.67 beta=109.07 gamma=109.67
Fractional coordinates of all 14 atoms:
Tm  0.129  0.751  0.021
Tm  0.979  0.108  0.730
Tm  0.766  0.247  0.371
Tm  0.629  0.395  0.876
Tm  0.481  0.605  0.234
Tm  0.622  0.892  0.871
Tm  0.270  0.249  0.378
Tm  0.124  0.753  0.519
Sn  0.002  0.375  0.127
Sn  0.873  0.875  0.249
Sn  0.751  0.625  0.626
Sn  0.500  0.000  0.500
Sn  0.374  0.125  0.998
Hg  0.250  0.500  0.750

* total DFT energy (no corrections): -4.616 eV per atom
* total moment: 0.0 μB/f.u.
* E_form: -0.6092 eV/atom

# 24
Here is a relaxed ScNi4Te crystal from the Alexandria database. Energies are from GGA-PBE.

Unit cell a=4.920 b=4.920 c=4.920 alpha=60.00 beta=60.00 gamma=60.00
Fractional coordinates of all 6 atoms:
Sc  0.750  0.750  0.750
Ni  0.872  0.376  0.376
Ni  0.376  0.376  0.872
Ni  0.376  0.872  0.376
Ni  0.376  0.376  0.376
Te  0.000  0.000  0.000

* total DFT energy (no corrections): -5.710 eV per atom
* raw formation energy: -0.277 eV/atom
* total moment: 1.1 μB/f.u.